VASP calculation (PBE) on a geometry-optimized Tl2FeIr structure.

```
Tl2FeIr
1.0
-2.7199 5.2616 4.6434
0.6495 -4.7699 5.7853
1.6498 1.2032 5.7023
Tl Ir Fe
4 2 2
Direct
0.6254 0.1250 0.2500
0.1246 0.6250 0.2500
0.3750 0.3746 0.7500
0.8750 0.8754 0.7500
0.0000 0.0000 0.0000
0.7500 0.2500 0.5000
0.5000 0.5000 0.0000
0.2500 0.7500 0.5000
```

Total moment: 6.053 μB/cell
DOS(E_F): 5.51 states/eV/cell
Polymorph energy (0 for the lowest one): 0.488 eV/atom
Total energy: -4.673 eV/atom